# PBE BaInP2, relaxed
data_BaInP2
_chemical_formula_sum 'Ba1 In1 P2'
_cell_length_a 4.762
_cell_length_b 4.277
_cell_length_c 5.799
_cell_angle_alpha 90.00
_cell_angle_beta 92.35
_cell_angle_gamma 90.00
_space_group_name_H-M_alt 'P 1 2/m 1'
_space_group_IT_number 10
loop_
_space_group_symop_operation_xyz
'x,y,z'
'-x,-y,-z'
'-x,y,-z'
'x,-y,z'
loop_
_atom_site_label
_atom_site_fract_x
_atom_site_fract_y
_atom_site_fract_z
Ba1 0.000 0.000 0.000
In1 0.500 0.000 0.500
P1 0.470 0.500 0.812
# calculated density	4421	kg/m³
# VASP energy	-4.293	eV per atom
# ΔH_f (0 K)	-423	meV/atom



# PBE SiRu2, relaxed
data_SiRu2
_chemical_formula_sum 'Si2 Ru4'
_cell_length_a 2.798
_cell_length_b 3.780
_cell_length_c 7.659
_cell_angle_alpha 90.00
_cell_angle_beta 90.00
_cell_angle_gamma 90.00
_space_group_name_H-M_alt 'I m m m'
_space_group_IT_number 71
_space_group_name_Hall '-I 2 2'
loop_
_atom_site_label
_atom_site_fract_x
_atom_site_fract_y
_atom_site_fract_z
Si1 0.000 0.000 0.000
Ru1 0.000 0.000 0.332
# calculated density	9436	kg/m³
# VASP energy	-8.135	eV per atom



# PBE RbSmTl2, relaxed
data_RbSmTl2
_chemical_formula_sum 'Rb1 Sm1 Tl2'
_cell_length_a 3.968
_cell_length_b 3.968
_cell_length_c 8.973
_cell_angle_alpha 90.00
_cell_angle_beta 90.00
_cell_angle_gamma 90.00
_space_group_name_H-M_alt 'P 4/m m m'
_space_group_IT_number 123
_space_group_name_Hall '-P 4 2'
loop_
_atom_site_label
_atom_site_fract_x
_atom_site_fract_y
_atom_site_fract_z
Rb1 0.000 0.000 0.000
Sm1 0.000 0.000 0.500
Tl1 0.500 0.500 0.302
# calculated density	7574	kg/m³
# energy relative to the lowest polymorph listed for this composition	0.0	meV per atom
# VASP energy	-2.793	eV per atom
# ΔH_f (0 K)	-189	meV/atom



# PBE SrMgTl2In, relaxed
data_SrMgTl2In
_chemical_formula_sum 'Sr2 Mg2 Tl4 In2'
_cell_length_a 6.332
_cell_length_b 6.835
_cell_length_c 6.869
_cell_angle_alpha 90.00
_cell_angle_beta 90.00
_cell_angle_gamma 90.00
_space_group_name_H-M_alt 'P m m a'
_space_group_IT_number 51
loop_
_space_group_symop_operation_xyz
'x,y,z'
'-x,-y,-z'
'-x+1/2,-y,z'
'x+1/2,y,-z'
'x+1/2,-y,-z'
'-x+1/2,y,z'
'-x,y,-z'
'x,-y,z'
loop_
_atom_site_label
_atom_site_fract_x
_atom_site_fract_y
_atom_site_fract_z
Sr1 0.250 0.000 0.221
Mg1 0.000 0.500 0.000
Tl1 0.250 0.234 0.724
In1 0.250 0.500 0.370
# calculated density	7099	kg/m³
# VASP energy	-2.352	eV per atom
# ΔH_f (0 K)	-202	meV/atom



# PBE Si5C, relaxed
data_Si5C
_chemical_formula_sum 'Si20 C4'
_cell_length_a 7.000
_cell_length_b 7.000
_cell_length_c 7.000
_cell_angle_alpha 90.00
_cell_angle_beta 90.00
_cell_angle_gamma 90.00
_space_group_name_H-M_alt 'F -4 3 m'
_space_group_IT_number 216
_space_group_name_Hall 'F -4 2 3'
loop_
_atom_site_label
_atom_site_fract_x
_atom_site_fract_y
_atom_site_fract_z
Si1 0.000 0.000 0.000
Si2 0.124 0.124 0.624
C1 0.250 0.250 0.250
# calculated density	2952	kg/m³
# energy relative to the lowest polymorph listed for this composition	913.6	meV per atom
# VASP energy	-4.655	eV per atom